Entry 1
LaHo3Th2 | Alexandria via LeMat-Bulk | GGA-PBE | optimized geometry; total magnetic moment = 0.000 μB/atom; symmetry = Cmcm
1.0
11.319 0.000 0.000
0.000 6.168 -2.586
0.000 -0.586 6.663
Ho La Th
6 2 4
Cartesian
8.490 -0.470 6.504 Ho
8.490 -0.074 3.120 Ho
2.830 6.052 -2.427 Ho
8.490 2.633 5.097 Ho
2.830 5.657 0.957 Ho
2.830 2.949 -1.020 Ho
2.830 2.519 2.410 La
8.490 3.063 1.666 La
0.000 1.394 1.018 Th
5.660 1.394 1.018 Th
11.319 4.188 3.059 Th
5.660 4.188 3.059 Th


Entry 2
LaHo3Th2 | Alexandria via LeMat-Bulk | GGA-PBE | optimized geometry; total magnetic moment = 0.000 μB/atom; symmetry = Cmcm
1.0
-1.934 -3.044 -0.109
3.269 -0.259 8.936
-9.367 5.823 3.596
Th Ho La
4 6 2
Cartesian
-4.985 2.789 10.566 Th
-3.047 -0.269 1.857 Th
0.000 0.000 0.000 Th
-4.683 2.912 1.798 Th
-9.520 3.682 6.406 Ho
-3.066 1.670 7.765 Ho
-6.547 3.997 4.542 Ho
1.489 -1.162 6.016 Ho
-1.485 -1.477 7.880 Ho
-4.966 0.850 4.658 Ho
-6.704 1.849 7.612 La
-1.328 0.671 4.811 La


entry 2 ends up most stable, edging out the next structure by 0.569 eV/atom.